An optimized crystal structure of LuSiNiHg. Source: OQMD via LeMat-Bulk, functional PBE.

Calculated values
Offset from the most stable computed form, meV/atom: 0
Total magnetic moment, Bohr magnetons per cell: 0.0

Cell lengths 4.658, 4.658, 4.658 Å; angles 60.00, 60.00, 60.00 degrees
Positions (direct):
Lu (0.000, 0.000, 0.000)
Si (0.250, 0.250, 0.250)
Ni (0.500, 0.500, 0.500)
Hg (0.750, 0.750, 0.750)

An optimized crystal structure of LuSiNiHg. Source: OQMD via LeMat-Bulk, functional PBE.

Calculated values
Offset from the most stable computed form, meV/atom: 44
Total magnetic moment, Bohr magnetons per cell: 0.0

Cell lengths 4.658, 4.658, 4.658 Å; angles 60.00, 60.00, 60.00 degrees
Positions (direct):
Lu (0.000, 0.000, 0.000)
Si (0.500, 0.500, 0.500)
Ni (0.750, 0.750, 0.750)
Hg (0.250, 0.250, 0.250)

An optimized crystal structure of LuTlNiHg. Source: OQMD via LeMat-Bulk, functional PBE.

Calculated values
Offset from the most stable computed form, meV/atom: 3
Total magnetic moment, Bohr magnetons per cell: 0.0

Cell lengths 4.898, 4.898, 4.898 Å; angles 60.00, 60.00, 60.00 degrees
Positions (direct):
Lu (0.000, 0.000, 0.000)
Tl (0.500, 0.500, 0.500)
Ni (0.750, 0.750, 0.750)
Hg (0.250, 0.250, 0.250)

An optimized crystal structure of LuTlNiHg. Source: OQMD via LeMat-Bulk, functional PBE.

Calculated values
Offset from the most stable computed form, meV/atom: 0
Total magnetic moment, Bohr magnetons per cell: 0.0

Cell lengths 4.848, 4.848, 4.848 Å; angles 60.00, 60.00, 60.00 degrees
Positions (direct):
Lu (0.000, 0.000, 0.000)
Tl (0.250, 0.250, 0.250)
Ni (0.500, 0.500, 0.500)
Hg (0.750, 0.750, 0.750)

An optimized crystal structure of LuZnNiHg. Source: OQMD via LeMat-Bulk, functional PBE.

Calculated values
Calculated formation energy, meV/atom: -215
Offset from the most stable computed form, meV/atom: 0
Total magnetic moment, Bohr magnetons per cell: 0.0

Cell lengths 4.678, 4.678, 4.678 Å; angles 60.00, 60.00, 60.00 degrees
Positions (direct):
Lu (0.000, 0.000, 0.000)
Zn (0.500, 0.500, 0.500)
Ni (0.750, 0.750, 0.750)
Hg (0.250, 0.250, 0.250)

An optimized crystal structure of LuZnNiHg. Source: OQMD via LeMat-Bulk, functional PBE.

Calculated values
Calculated formation energy, meV/atom: -180
Offset from the most stable computed form, meV/atom: 35
Total magnetic moment, Bohr magnetons per cell: 0.0

Cell lengths 4.660, 4.660, 4.660 Å; angles 60.00, 60.00, 60.00 degrees
Positions (direct):
Lu (0.000, 0.000, 0.000)
Zn (0.250, 0.250, 0.250)
Ni (0.500, 0.500, 0.500)
Hg (0.750, 0.750, 0.750)

An optimized crystal structure of Lu2Hg2O5. Source: OQMD via LeMat-Bulk, functional PBE.

Calculated values
Offset from the most stable computed form, meV/atom: 0
Total magnetic moment, Bohr magnetons per cell: 0.9

Cell lengths 4.031, 4.031, 8.574 Å; angles 90.00, 90.00, 90.00 degrees
Positions (direct):
Lu (0.000, 0.000, 0.248)
Lu (0.000, 0.000, 0.752)
Hg (0.500, 0.500, 0.000)
Hg (0.500, 0.500, 0.500)
O (0.000, 0.000, 0.000)
O (0.000, 0.500, 0.329)
O (0.000, 0.500, 0.671)
O (0.500, 0.000, 0.329)
O (0.500, 0.000, 0.671)

An optimized crystal structure of Lu2Hg2O5. Source: OQMD via LeMat-Bulk, functional PBE.

Calculated values
Offset from the most stable computed form, meV/atom: 750
Total magnetic moment, Bohr magnetons per cell: 0.0

Cell lengths 4.267, 4.267, 7.138 Å; angles 90.00, 90.00, 90.00 degrees
Positions (direct):
Lu (0.000, 0.000, 0.000)
Lu (0.000, 0.000, 0.500)
Hg (0.500, 0.500, 0.193)
Hg (0.500, 0.500, 0.807)
O (0.000, 0.500, 0.206)
O (0.000, 0.500, 0.794)
O (0.500, 0.000, 0.206)
O (0.500, 0.000, 0.794)
O (0.500, 0.500, 0.500)